Material: K3TiP
Method: DFT, PBE
State: optimized geometry

Geometry as extended XYZ:
```
5
Lattice="6.245 0.000 0.000 0.000 6.245 0.000 0.000 0.000 6.245" Properties=species:S:1:pos:R:3 pbc="T T T"
K 0.000 0.000 3.123
K 0.000 3.123 0.000
K 3.123 0.000 0.000
Ti 3.123 3.123 3.123
P 0.000 0.000 0.000
```

Computed properties:
Its crystal system is cubic. As for the excess energy over the best structure of this formula in the dataset: 0.000 eV/atom. For the density of states at the Fermi level, the calculation gives 4.284 states/eV/atom.

=====

Material: K2TiP2
Method: DFT, PBE
State: optimized geometry

Geometry as extended XYZ:
```
10
Lattice="-3.560 6.528 3.191 3.560 -6.528 3.191 3.560 6.528 -3.191" Properties=species:S:1:pos:R:3 pbc="T T T"
K 1.056 1.984 0.000
K 4.616 4.544 0.000
K -1.056 1.984 3.191
K 2.505 4.544 3.191
Ti 3.560 0.000 1.595
Ti 0.000 6.528 1.595
P 4.835 1.255 0.000
P 1.275 5.273 0.000
P 2.285 1.255 3.191
P -1.275 5.273 3.191
```

Computed properties:
Its crystal system is orthorhombic.

=====

Material: KTiP3
Method: DFT, PBE
State: optimized geometry

Geometry as extended XYZ:
```
5
Lattice="4.801 0.000 0.000 0.000 4.801 0.000 0.000 0.000 4.801" Properties=species:S:1:pos:R:3 pbc="T T T"
K 0.000 0.000 0.000
Ti 2.400 2.400 2.400
P 0.000 2.400 2.400
P 2.400 0.000 2.400
P 2.400 2.400 0.000
```

Computed properties:
Its crystal system is cubic. As for the excess energy over the best structure of this formula in the dataset: 0.000 eV/atom. For the density of states at the Fermi level, the calculation gives 0.817 states/eV/atom.

=====

Material: K2TiP
Method: DFT, PBE
State: optimized geometry

Geometry as extended XYZ:
```
16
Lattice="12.433 0.000 0.000 0.000 12.433 0.000 0.000 0.000 4.790" Properties=species:S:1:pos:R:3 pbc="T T T"
K 0.889 3.108 0.599
K 3.108 7.105 1.796
K 3.108 11.544 4.192
K 5.328 3.108 2.994
K 7.105 9.325 2.994
K 9.325 0.889 4.192
K 9.325 5.328 1.796
K 11.544 9.325 0.599
Ti 0.000 0.000 2.395
Ti 0.000 6.216 3.593
Ti 6.216 0.000 1.198
Ti 6.216 6.216 0.000
P 0.000 0.000 0.000
P 0.000 6.216 1.198
P 6.216 0.000 3.593
P 6.216 6.216 2.395
```

Computed properties:
Its crystal system is tetragonal. For the density of states at the Fermi level, the calculation gives 1.143 states/eV/atom.

=====

Material: KTiP2
Method: DFT, PBE
State: optimized geometry

Geometry as extended XYZ:
```
16
Lattice="6.703 0.000 0.000 0.000 6.703 0.000 0.000 0.000 6.703" Properties=species:S:1:pos:R:3 pbc="T T T"
K 0.000 0.000 0.000
K 0.000 3.351 3.351
K 3.351 0.000 3.351
K 3.351 3.351 0.000
Ti 0.000 0.000 3.351
Ti 0.000 3.351 0.000
Ti 3.351 0.000 0.000
Ti 3.351 3.351 3.351
P 1.676 1.676 1.676
P 1.676 1.676 5.027
P 1.676 5.027 1.676
P 1.676 5.027 5.027
P 5.027 1.676 1.676
P 5.027 1.676 5.027
P 5.027 5.027 1.676
P 5.027 5.027 5.027
```

Computed properties:
Its crystal system is cubic. As for the excess energy over the best structure of this formula in the dataset: 0.564 eV/atom. For the density of states at the Fermi level, the calculation gives 0.379 states/eV/atom.

=====

Material: KTiP2
Method: DFT, PBE
State: optimized geometry

Geometry as extended XYZ:
```
16
Lattice="5.735 0.000 0.000 0.000 5.735 0.000 0.000 0.000 14.660" Properties=species:S:1:pos:R:3 pbc="T T T"
K 0.000 0.000 0.000
K 0.000 2.868 3.665
K 2.868 0.000 10.995
K 2.868 2.868 7.330
Ti 0.000 0.000 7.330
Ti 0.000 2.868 10.995
Ti 2.868 0.000 3.665
Ti 2.868 2.868 0.000
P 0.006 1.434 9.163
P 1.434 2.874 12.828
P 1.434 5.729 5.498
P 2.861 1.434 1.833
P 2.874 4.301 1.833
P 4.301 0.006 5.498
P 4.301 2.861 12.828
P 5.729 4.301 9.163
```

Computed properties:
Its crystal system is tetragonal. As for the excess energy over the best structure of this formula in the dataset: 0.000 eV/atom. For the density of states at the Fermi level, the calculation gives 0.360 states/eV/atom.

=====

Material: K2TiVP
Method: DFT, PBE
State: optimized geometry

Geometry as extended XYZ:
```
5
Lattice="6.071 0.000 0.000 0.000 6.071 0.000 0.000 0.000 4.409" Properties=species:S:1:pos:R:3 pbc="T T T"
K 0.000 3.036 0.000
K 3.036 0.000 0.000
Ti 0.000 0.000 2.205
V 0.000 0.000 0.000
P 3.036 3.036 2.205
```

Computed properties:
Its crystal system is tetragonal. For the density of states at the Fermi level, the calculation gives 1.579 states/eV/atom.

=====

Material: KYTiP2
Method: DFT, PBE
State: optimized geometry

Geometry as extended XYZ:
```
5
Lattice="4.883 0.000 0.000 0.000 4.883 0.000 0.000 0.000 4.745" Properties=species:S:1:pos:R:3 pbc="T T T"
K 0.000 0.000 0.000
Y 2.441 2.441 0.000
Ti 0.000 0.000 2.372
P 0.000 2.441 2.372
P 2.441 0.000 2.372
```

Computed properties:
Its crystal system is tetragonal. For the density of states at the Fermi level, the calculation gives 0.821 states/eV/atom.

=====

Material: K2TlP
Method: DFT, PBE
State: optimized geometry

Geometry as extended XYZ:
```
16
Lattice="5.018 0.000 0.000 0.000 5.018 0.000 0.000 0.000 22.215" Properties=species:S:1:pos:R:3 pbc="T T T"
K 1.101 1.254 2.777
K 1.254 3.610 8.331
K 1.254 3.917 19.439
K 1.408 1.254 13.885
K 3.610 3.763 13.885
K 3.763 1.101 19.439
K 3.763 1.408 8.331
K 3.917 3.763 2.777
Tl 0.000 0.000 11.108
Tl 0.000 2.509 16.662
Tl 2.509 0.000 5.554
Tl 2.509 2.509 0.000
P 0.000 0.000 0.000
P 0.000 2.509 5.554
P 2.509 0.000 16.662
P 2.509 2.509 11.108
```

Computed properties:
Its crystal system is tetragonal. As for the excess energy over the best structure of this formula in the dataset: 0.469 eV/atom. For the density of states at the Fermi level, the calculation gives 0.870 states/eV/atom.

=====

Material: K2TlP
Method: DFT, PBE
State: optimized geometry

Geometry as extended XYZ:
```
12
Lattice="3.689 0.000 0.000 -1.844 3.194 0.000 0.000 0.000 33.940" Properties=species:S:1:pos:R:3 pbc="T T T"
K 0.000 0.000 7.996
K 0.000 0.000 25.945
K 0.000 2.130 14.631
K 0.000 2.130 30.622
K 1.844 1.065 3.318
K 1.844 1.065 19.309
Tl 0.000 0.000 0.000
Tl 0.000 2.130 22.627
Tl 1.844 1.065 11.313
P 0.000 0.000 16.970
P 0.000 2.130 5.657
P 1.844 1.065 28.284
```

Computed properties:
Its crystal system is trigonal. As for the excess energy over the best structure of this formula in the dataset: 0.422 eV/atom. For the density of states at the Fermi level, the calculation gives 0.870 states/eV/atom.

=====

Material: KTl2P2
Method: DFT, PBE
State: optimized geometry

Geometry as extended XYZ:
```
10
Lattice="8.390 0.000 0.000 0.000 8.390 0.000 0.000 0.000 4.310" Properties=species:S:1:pos:R:3 pbc="T T T"
K 0.000 0.000 0.000
K 4.195 4.195 0.000
Tl 1.364 2.831 2.155
Tl 2.831 7.026 2.155
Tl 5.559 1.364 2.155
Tl 7.026 5.559 2.155
P 0.755 4.950 0.000
P 3.441 0.755 0.000
P 4.950 7.636 0.000
P 7.636 3.441 0.000
```

Computed properties:
Its crystal system is tetragonal. As for the excess energy over the best structure of this formula in the dataset: 0.046 eV/atom. For the density of states at the Fermi level, the calculation gives 0.507 states/eV/atom.

=====

Material: KTl2P
Method: DFT, PBE
State: optimized geometry

Geometry as extended XYZ:
```
12
Lattice="4.372 0.000 0.000 -2.186 3.786 0.000 0.000 0.000 23.746" Properties=species:S:1:pos:R:3 pbc="T T T"
K 0.000 0.000 0.000
K 0.000 2.524 15.830
K 2.186 1.262 7.915
Tl 0.000 0.000 5.365
Tl 0.000 0.000 18.381
Tl 0.000 2.524 10.466
Tl 0.000 2.524 21.195
Tl 2.186 1.262 2.551
Tl 2.186 1.262 13.280
P 0.000 0.000 11.873
P 0.000 2.524 3.958
P 2.186 1.262 19.788
```

Computed properties:
Its crystal system is trigonal. As for the excess energy over the best structure of this formula in the dataset: 0.049 eV/atom. For the density of states at the Fermi level, the calculation gives 0.140 states/eV/atom.

=====

Calculated DFT formation energy, 0.8685 -0.6616 -0.1551 0.1230 0.1628 -0.4011 1.4175 0.1968 0.2486 0.2020 -0.0451 -0.0640 eV per atom (same order as the records).